Record 1
A plane-wave DFT calculation with GGA-PBE was carried out for SiBiIr3 after structural relaxation.

**ΔE to the lowest computed polymorph**: 170.0 kJ per mole of atoms
**Space-group type**: Pm-3m (221)

```
SiBiIr3
1.0
4.988 0.000 0.000
0.000 4.988 0.000
0.000 0.000 4.988
Si Bi Ir
1 1 3
direct
0.000 0.000 0.000
0.500 0.500 0.500
0.000 0.500 0.500
0.500 0.000 0.500
0.500 0.500 0.000
```

---

Record 2
A plane-wave DFT calculation with GGA-PBE was carried out for NaNbHg after structural relaxation.

**ΔE to the lowest computed polymorph**: 19.7 kJ per mole of atoms
**Energy relative to the elements**: 0.305 eV/atom
**Space-group type**: P1 (1)

```
NaNbHg
1.0
3.010 0.000 0.000
1.467 6.110 0.000
1.026 1.362 7.252
Na Nb Hg
2 2 2
direct
0.000 0.000 0.000
0.230 0.220 0.314
0.240 0.435 0.676
0.559 0.662 0.412
0.621 0.542 0.016
0.791 0.965 0.632
```

---

Record 3
A plane-wave DFT calculation with GGA-PBE was carried out for In2SeS2 after structural relaxation.

**Space-group type**: C2/m (12)

```
In2SeS2
1.0
10.771 -1.969 0.000
10.771 1.969 0.000
-1.018 0.000 6.589
In Se S
4 2 4
direct
0.121 0.121 0.409
0.340 0.340 0.014
0.660 0.660 0.986
0.879 0.879 0.591
0.225 0.225 0.229
0.775 0.775 0.771
0.106 0.106 0.765
0.430 0.430 0.780
0.570 0.570 0.220
0.894 0.894 0.235
```

---

Record 4
A plane-wave DFT calculation with GGA-PBE was carried out for ErMnP2Ru after structural relaxation.

**Energy relative to the elements**: -0.960 eV/atom
**Space-group type**: I-4m2 (119)

```
ErMnP2Ru
1.0
-1.995 1.995 4.687
1.995 -1.995 4.687
1.995 1.995 -4.687
Er Mn P Ru
1 1 2 1
direct
0.000 0.000 0.000
0.750 0.250 0.500
0.371 0.371 0.000
0.629 0.629 0.000
0.250 0.750 0.500
```

---

Record 5
A plane-wave DFT calculation with GGA-PBE was carried out for NbZn2Cu after structural relaxation.

**ΔE to the lowest computed polymorph**: 20.1 kJ per mole of atoms
**Energy relative to the elements**: 0.112 eV/atom
**Space-group type**: Fm-3m (225)

```
NbZn2Cu
1.0
0.000 3.091 3.091
3.091 0.000 3.091
3.091 3.091 0.000
Nb Zn Cu
1 2 1
direct
0.000 0.000 0.000
0.250 0.250 0.250
0.750 0.750 0.750
0.500 0.500 0.500
```

---

Record 6
A plane-wave DFT calculation with GGA-PBE was carried out for La5Sm3 after structural relaxation.

**ΔE to the lowest computed polymorph**: 0.6 kJ per mole of atoms
**Energy relative to the elements**: 0.021 eV/atom
**Space-group type**: P4/mmm (123)

```
La5Sm3
1.0
3.709 0.000 0.000
0.000 3.709 0.000
0.000 0.000 20.801
La Sm
5 3
direct
0.000 0.000 0.000
0.000 0.000 0.248
0.000 0.000 0.752
0.500 0.500 0.375
0.500 0.500 0.625
0.000 0.000 0.500
0.500 0.500 0.123
0.500 0.500 0.877
```

---

Record 7
A plane-wave DFT calculation with GGA-PBE was carried out for Pa2ZnPt6 after structural relaxation.

**Energy relative to the elements**: -0.851 eV/atom
**Space-group type**: C2/m (12)

```
Pa2ZnPt6
1.0
4.936 -2.850 0.000
4.936 2.850 0.000
-0.007 0.000 5.886
Pa Zn Pt
2 1 6
direct
0.167 0.167 0.307
0.833 0.833 0.693
0.500 0.500 0.500
0.152 0.674 0.190
0.326 0.326 0.810
0.326 0.848 0.810
0.674 0.152 0.190
0.674 0.674 0.190
0.848 0.326 0.810
```

---

Record 8
A plane-wave DFT calculation with GGA-PBE was carried out for Y2SeBr3 after structural relaxation.

**Space-group type**: C2/m (12)

```
Y2SeBr3
1.0
8.873 -2.065 0.000
8.873 2.065 0.000
-7.434 0.000 10.290
Y Se Br
4 2 6
direct
0.105 0.105 0.439
0.373 0.373 0.170
0.627 0.627 0.830
0.895 0.895 0.561
0.092 0.092 0.664
0.908 0.908 0.336
0.171 0.171 0.029
0.261 0.261 0.394
0.445 0.445 0.763
0.555 0.555 0.237
0.739 0.739 0.606
0.829 0.829 0.971
```

---

Record 9
A plane-wave DFT calculation with GGA-PBE was carried out for SrLa2In after structural relaxation.

**Energy relative to the elements**: -0.172 eV/atom
**Space-group type**: Pm (6)

```
SrLa2In
1.0
3.860 0.000 0.000
0.000 4.682 0.000
-0.009 0.000 7.861
Sr La In
1 2 1
direct
0.000 0.000 0.000
0.501 0.500 0.672
0.999 0.000 0.460
0.499 0.500 0.241
```

---

Record 10
A plane-wave DFT calculation with GGA-PBE was carried out for Sr3SmU3As8 after structural relaxation.

**Energy relative to the elements**: -0.870 eV/atom
**Space-group type**: R-3m (166)

```
Sr3SmU3As8
1.0
4.199 2.424 7.141
-4.199 2.424 7.141
0.000 -4.848 7.141
Sr Sm U As
3 1 3 8
direct
0.000 0.500 0.500
0.500 0.000 0.500
0.500 0.500 0.000
0.500 0.500 0.500
0.000 0.000 0.500
0.000 0.500 0.000
0.500 0.000 0.000
0.219 0.747 0.747
0.239 0.239 0.239
0.253 0.253 0.781
0.253 0.781 0.253
0.747 0.219 0.747
0.747 0.747 0.219
0.761 0.761 0.761
0.781 0.253 0.253
```

---

Record 11
A plane-wave DFT calculation with GGA-PBE was carried out for MgAg2Au after structural relaxation.

**Energy relative to the elements**: -0.227 eV/atom
**Space-group type**: C2/m (12)

```
MgAg2Au
1.0
4.890 -1.576 0.000
4.890 1.576 0.000
-1.106 0.000 4.696
Mg Ag Au
1 2 1
direct
0.000 0.000 0.000
0.250 0.250 0.751
0.750 0.750 0.249
0.500 0.500 0.500
```

---

Record 12
A plane-wave DFT calculation with GGA-PBE was carried out for K2AsPt after structural relaxation.

**Energy relative to the elements**: 0.043 eV/atom
**Space-group type**: P4/mmm (123)

```
K2AsPt
1.0
4.257 0.000 0.000
0.000 4.257 0.000
0.000 0.000 5.159
K As Pt
2 1 1
direct
0.000 0.500 0.000
0.500 0.000 0.000
0.000 0.000 0.500
0.500 0.500 0.500
```

---

| no. | total DFT energy (no corrections) (Ry per atom) |
| --- | --- |
| 1 | -0.363 |
| 2 | -0.264 |
| 3 | -0.290 |
| 4 | -0.568 |
| 5 | -0.299 |
| 6 | -0.355 |
| 7 | -0.524 |
| 8 | -0.389 |
| 9 | -0.275 |
| 10 | -0.460 |
| 11 | -0.211 |
| 12 | -0.234 |